Entry 1:
The following is a DFT calculation (PBE-GGA) of Pm3Er2Mg after structural relaxation.

Summary:
Calculated total energy in eV/atom: -4.1770
DFT formation energy in kcal/mol of atoms: -0.3

a b c (Å): 3.6154 3.6154 14.3825
angles (deg): 90.00 90.00 90.00
Closest atoms and distances in Å follow each position.
Positions (direct):
Pm 0.0000 0.0000 0.0000  8 Er 3.57, 4 Pm 3.62
Pm 0.0000 0.0000 0.6540  4 Mg 3.38, 4 Er 3.56, 4 Pm 3.62
Pm 0.0000 0.0000 0.3460  4 Mg 3.38, 4 Er 3.56, 4 Pm 3.62
Er 0.5000 0.5000 0.8264  8 Pm 3.56-3.57, 4 Er 3.62
Er 0.5000 0.5000 0.1736  8 Pm 3.56-3.57, 4 Er 3.62
Mg 0.5000 0.5000 0.5000  8 Pm 3.38, 4 Mg 3.62


Entry 2:
The following is a DFT calculation (PBE-GGA) of Pm2ErMg after structural relaxation.

Summary:
ΔE to the lowest computed polymorph in meV per atom: 46
Calculated total energy in eV/atom: -3.8965
DFT formation energy in kcal/mol of atoms: 0.4

a b c (Å): 5.5687 5.5687 5.5687
angles (deg): 60.00 60.00 60.00
Closest atoms and distances in Å follow each position.
Positions (direct):
Mg 0.0000 0.0000 0.0000  8 Pm 3.41
Pm 0.2500 0.2500 0.2500  4 Er 3.41, 4 Mg 3.41
Pm 0.7500 0.7500 0.7500  4 Er 3.41, 4 Mg 3.41
Er 0.5000 0.5000 0.5000  8 Pm 3.41


Entry 3:
The following is a DFT calculation (PBE-GGA) of Pm2ErMg8 after structural relaxation.

Summary:
Calculated total energy in eV/atom: -2.3986
DFT formation energy in kcal/mol of atoms: 0.9

a b c (Å): 5.2961 7.7118 8.5893
angles (deg): 116.68 107.96 90.00
Closest atoms and distances in Å follow each position.
Positions (direct):
Pm 0.2099 0.7099 0.4197  10 Mg 3.24-3.44
Pm 0.7901 0.2901 0.5803  10 Mg 3.24-3.44
Er 0.5000 0.0000 0.0000  4 Mg 3.03
Mg 0.6326 0.8269 0.2653  3 Mg 3.00-3.27, 1 Er 3.03, 3 Pm 3.24-3.27
Mg 0.3674 0.5617 0.7347  3 Mg 3.00-3.27, 1 Er 3.03, 3 Pm 3.24-3.27
Mg 0.1525 0.1525 0.3051  4 Mg 3.13-3.44, 2 Pm 3.31, 2 Er 3.44
Mg 0.0000 0.2883 0.0000  7 Mg 3.13-3.27, 2 Pm 3.44, 2 Er 3.46
Mg 0.8475 0.8475 0.6949  4 Mg 3.13-3.44, 2 Pm 3.31, 2 Er 3.44
Mg 0.6326 0.4383 0.2653  3 Mg 3.00-3.27, 1 Er 3.03, 3 Pm 3.24-3.27
Mg 0.3674 0.1731 0.7347  3 Mg 3.00-3.27, 1 Er 3.03, 3 Pm 3.24-3.27
Mg 0.0000 0.7117 0.0000  7 Mg 3.13-3.27, 2 Pm 3.44, 2 Er 3.46